[1]
The following is a GGA-PBE calculation of a relaxed FeAg3P crystal, from the Alexandria database.

crystal system = cubic
total energy = -16.21 eV/cell

Structure (POSCAR):
```
FeAg3P
1.0
4.806 0.000 0.000
0.000 4.806 0.000
0.000 0.000 4.806
Fe Ag P
1 3 1
direct
0.000 0.000 0.000 Fe
0.000 0.000 0.500 Ag
0.000 0.500 0.000 Ag
0.500 0.000 0.000 Ag
0.500 0.500 0.500 P
```

[2]
The following is a GGA-PBE calculation of a relaxed TbSm6Er3 crystal, from the Alexandria database.

crystal system = orthorhombic
total energy = -90.71 eV/cell

Structure (POSCAR):
```
TbSm6Er3
1.0
4.870 -10.594 0.000
4.870 10.594 0.000
0.000 0.000 6.399
Tb Sm Er
2 12 6
direct
0.159 0.841 0.500 Tb
0.841 0.159 0.000 Tb
0.016 0.984 0.698 Sm
0.106 0.544 0.188 Sm
0.260 0.380 0.940 Sm
0.301 0.699 0.719 Sm
0.380 0.260 0.440 Sm
0.456 0.894 0.188 Sm
0.544 0.106 0.688 Sm
0.620 0.740 0.940 Sm
0.699 0.301 0.219 Sm
0.740 0.620 0.440 Sm
0.894 0.456 0.688 Sm
0.984 0.016 0.198 Sm
0.042 0.294 0.524 Er
0.294 0.042 0.024 Er
0.419 0.581 0.420 Er
0.581 0.419 0.920 Er
0.706 0.958 0.524 Er
0.958 0.706 0.024 Er
```

[3]
The following is a GGA-PBE calculation of a relaxed ZrAs2Ru crystal, from the Alexandria database.

crystal system = tetragonal
total energy = -55.68 eV/cell

Structure (POSCAR):
```
ZrAs2Ru
1.0
-2.066 2.066 8.830
2.066 -2.066 8.830
2.066 2.066 -8.830
Zr As Ru
2 4 2
direct
0.000 0.000 0.000 Zr
0.750 0.250 0.500 Zr
0.168 0.625 0.043 As
0.375 0.418 0.543 As
0.582 0.125 0.957 As
0.875 0.832 0.457 As
0.250 0.750 0.500 Ru
0.500 0.500 0.000 Ru
```

[4]
The following is a GGA-PBE calculation of a relaxed ScZnAs2 crystal, from the Alexandria database.

crystal system = orthorhombic
total energy = -17.59 eV/cell

Structure (POSCAR):
```
ScZnAs2
1.0
2.041 -2.153 0.000
2.041 2.153 0.000
0.000 0.000 9.276
Sc Zn As
1 1 2
direct
0.000 0.000 0.000 Sc
0.500 0.500 0.228 Zn
0.000 0.000 0.426 As
0.500 0.500 0.789 As
```

[5]
The following is a GGA-PBE calculation of a relaxed KLi3Mg crystal, from the Alexandria database.

crystal system = cubic
total energy = -7.17 eV/cell

Structure (POSCAR):
```
KLi3Mg
1.0
5.577 0.000 0.000
0.000 5.577 0.000
0.000 0.000 5.577
K Li Mg
1 3 1
direct
0.000 0.000 0.000 K
0.000 0.500 0.500 Li
0.500 0.000 0.500 Li
0.500 0.500 0.000 Li
0.500 0.500 0.500 Mg
```

[6]
The following is a GGA-PBE calculation of a relaxed Cd3Ga5Bi12 crystal, from the Alexandria database.

crystal system = cubic
total energy = -242.36 eV/cell

Structure (POSCAR):
```
Cd3Ga5Bi12
1.0
-8.674 8.674 8.674
8.674 -8.674 8.674
8.674 8.674 -8.674
Cd Ga Bi
12 20 48
direct
0.125 0.250 0.375 Cd
0.125 0.375 0.750 Cd
0.250 0.375 0.125 Cd
0.250 0.875 0.625 Cd
0.375 0.125 0.250 Cd
0.375 0.750 0.125 Cd
0.625 0.250 0.875 Cd
0.625 0.875 0.750 Cd
0.750 0.125 0.375 Cd
0.750 0.625 0.875 Cd
0.875 0.625 0.250 Cd
0.875 0.750 0.625 Cd
0.000 0.000 0.000 Ga
0.000 0.000 0.500 Ga
0.000 0.500 0.000 Ga
0.000 0.500 0.500 Ga
0.125 0.750 0.875 Ga
0.125 0.875 0.250 Ga
0.250 0.125 0.875 Ga
0.250 0.625 0.375 Ga
0.375 0.250 0.625 Ga
0.375 0.625 0.750 Ga
0.500 0.000 0.000 Ga
0.500 0.000 0.500 Ga
0.500 0.500 0.000 Ga
0.500 0.500 0.500 Ga
0.625 0.375 0.250 Ga
0.625 0.750 0.375 Ga
0.750 0.375 0.625 Ga
0.750 0.875 0.125 Ga
0.875 0.125 0.750 Ga
0.875 0.250 0.125 Ga
0.052 0.229 0.120 Bi
0.052 0.322 0.931 Bi
0.069 0.620 0.391 Bi
0.069 0.948 0.678 Bi
0.109 0.729 0.678 Bi
0.109 0.880 0.431 Bi
0.120 0.052 0.229 Bi
0.120 0.569 0.891 Bi
0.178 0.229 0.609 Bi
0.178 0.448 0.569 Bi
0.229 0.120 0.052 Bi
0.229 0.609 0.178 Bi
0.271 0.322 0.891 Bi
0.271 0.448 0.380 Bi
0.322 0.891 0.271 Bi
0.322 0.931 0.052 Bi
0.380 0.271 0.448 Bi
0.380 0.609 0.931 Bi
0.391 0.069 0.620 Bi
0.391 0.822 0.771 Bi
0.431 0.109 0.880 Bi
0.431 0.822 0.552 Bi
0.448 0.380 0.271 Bi
0.448 0.569 0.178 Bi
0.552 0.431 0.822 Bi
0.552 0.620 0.729 Bi
0.569 0.178 0.448 Bi
0.569 0.891 0.120 Bi
0.609 0.178 0.229 Bi
0.609 0.931 0.380 Bi
0.620 0.391 0.069 Bi
0.620 0.729 0.552 Bi
0.678 0.069 0.948 Bi
0.678 0.109 0.729 Bi
0.729 0.552 0.620 Bi
0.729 0.678 0.109 Bi
0.771 0.391 0.822 Bi
0.771 0.880 0.948 Bi
0.822 0.552 0.431 Bi
0.822 0.771 0.391 Bi
0.880 0.431 0.109 Bi
0.880 0.948 0.771 Bi
0.891 0.120 0.569 Bi
0.891 0.271 0.322 Bi
0.931 0.052 0.322 Bi
0.931 0.380 0.609 Bi
0.948 0.678 0.069 Bi
0.948 0.771 0.880 Bi
```

[7]
The following is a GGA-PBE calculation of a relaxed Ac4LaTh3Sb8 crystal, from the Alexandria database.

crystal system = trigonal
E_form (uncorrected) = -1.11 eV per atom

Structure (POSCAR):
```
Ac4LaTh3Sb8
1.0
4.649 2.684 7.640
-4.649 2.684 7.640
0.000 -5.368 7.640
Ac La Th Sb
4 1 3 8
direct
0.000 0.000 0.000 Ac
0.000 0.500 0.500 Ac
0.500 0.000 0.500 Ac
0.500 0.500 0.000 Ac
0.500 0.500 0.500 La
0.000 0.000 0.500 Th
0.000 0.500 0.000 Th
0.500 0.000 0.000 Th
0.241 0.747 0.747 Sb
0.244 0.244 0.244 Sb
0.253 0.253 0.759 Sb
0.253 0.759 0.253 Sb
0.747 0.241 0.747 Sb
0.747 0.747 0.241 Sb
0.756 0.756 0.756 Sb
0.759 0.253 0.253 Sb
```

[8]
The following is a GGA-PBE calculation of a relaxed CeYMgRh crystal, from the Alexandria database.

crystal system = cubic
total energy = -22.50 eV/cell

Structure (POSCAR):
```
CeYMgRh
1.0
0.000 3.607 3.607
3.607 0.000 3.607
3.607 3.607 0.000
Ce Y Mg Rh
1 1 1 1
direct
0.000 0.000 0.000 Ce
0.500 0.500 0.500 Y
0.250 0.250 0.250 Mg
0.750 0.750 0.750 Rh
```

[9]
The following is a GGA-PBE calculation of a relaxed NaLiSnS2 crystal, from the Alexandria database.

crystal system = monoclinic
E_form (uncorrected) = -0.89 eV per atom

Structure (POSCAR):
```
NaLiSnS2
1.0
7.821 -1.982 0.000
7.821 1.982 0.000
-1.217 0.000 7.908
Na Li Sn S
2 2 2 4
direct
0.178 0.178 0.287 Na
0.822 0.822 0.713 Na
0.201 0.201 0.919 Li
0.799 0.799 0.081 Li
0.440 0.440 0.281 Sn
0.560 0.560 0.719 Sn
0.155 0.155 0.622 S
0.358 0.358 0.975 S
0.642 0.642 0.025 S
0.845 0.845 0.378 S
```

[10]
The following is a GGA-PBE calculation of a relaxed AlTc2Sb crystal, from the Alexandria database.

crystal system = orthorhombic
E_form (uncorrected) = 0.78 eV per atom

Structure (POSCAR):
```
AlTc2Sb
1.0
-1.634 2.084 5.465
1.634 -2.084 5.465
1.634 2.084 -5.465
Al Tc Sb
1 2 1
direct
0.000 0.000 0.000 Al
0.248 0.248 0.000 Tc
0.752 0.752 0.000 Tc
0.500 0.500 0.000 Sb
```

[11]
The following is a GGA-PBE calculation of a relaxed BeGaRuN2 crystal, from the Alexandria database.

crystal system = tetragonal
E_form (uncorrected) = 1.05 eV per atom

Structure (POSCAR):
```
BeGaRuN2
1.0
3.756 0.000 0.000
0.000 3.756 0.000
0.000 0.000 5.789
Be Ga Ru N
1 1 1 2
direct
0.000 0.000 0.000 Be
0.500 0.500 0.000 Ga
0.500 0.500 0.500 Ru
0.000 0.500 0.500 N
0.500 0.000 0.500 N
```

[12]
The following is a GGA-PBE calculation of a relaxed ErMgS3 crystal, from the Alexandria database.

crystal system = monoclinic
E_form (uncorrected) = -1.26 eV per atom

Structure (POSCAR):
```
ErMgS3
1.0
3.834 -5.739 0.000
3.834 5.739 0.000
-3.419 0.000 5.818
Er Mg S
2 2 6
direct
0.218 0.218 0.250 Er
0.782 0.782 0.750 Er
0.339 0.661 0.000 Mg
0.661 0.339 0.000 Mg
0.073 0.773 0.150 S
0.227 0.927 0.850 S
0.416 0.416 0.707 S
0.584 0.584 0.293 S
0.773 0.073 0.150 S
0.927 0.227 0.850 S
```

Number 1: density of states at the Fermi level 0.807 states/eV per atom, magnetization 3.30 μB per formula unit. Number 2: density of states at the Fermi level 1.592 states/eV per atom, magnetization 0.00 μB per formula unit. Number 3: density of states at the Fermi level 0.855 states/eV per atom, magnetization 0.00 μB per formula unit. Number 4: density of states at the Fermi level 0.462 states/eV per atom, magnetization 0.00 μB per formula unit. Number 5: density of states at the Fermi level 0.729 states/eV per atom, magnetization 0.00 μB per formula unit. Number 6: density of states at the Fermi level 0.564 states/eV per atom, magnetization 0.00 μB per formula unit. Number 7: density of states at the Fermi level 0.409 states/eV per atom, magnetization 0.00 μB per formula unit. Number 8: density of states at the Fermi level 1.732 states/eV per atom, magnetization 0.63 μB per formula unit. Number 9: density of states at the Fermi level 0.000 states/eV per atom, magnetization 0.00 μB per formula unit. Number 10: density of states at the Fermi level 0.892 states/eV per atom, magnetization 0.00 μB per formula unit. Number 11: density of states at the Fermi level 0.764 states/eV per atom, magnetization 0.00 μB per formula unit. Number 12: density of states at the Fermi level 0.029 states/eV per atom, magnetization 1.01 μB per formula unit.